Entry 1:
Entry from Alexandria: a relaxed structure of Sm4As3 (PBE).

The calculated volume comes out at 25.32 Å³/atom. As for the calculated formation energy: -860 kJ/mol of formula units. The energy relative to the lowest polymorph listed for this composition comes out at 0 meV per atom. The energy comes out at -0.4383 Ry per atom.

The space group is I-43d (No. 220) and the conventional cell measures 8.9167, 8.9167 and 8.9167 Å, with angles of 90.00, 90.00 and 90.00 degrees. The asymmetric unit holds Sm at (0.0668, 0.0668, 0.0668) and As at (0.0000, 0.2500, 0.3750).


Entry 2:
Entry from Alexandria: a relaxed structure of Sm2As (PBE).

The calculated volume comes out at 31.32 Å³/atom. As for the calculated formation energy: -258 kJ/mol of formula units. The energy comes out at -0.4107 Ry per atom.

The space group is R-3m (No. 166, hexagonal axes) and the conventional cell measures 4.0846, 4.0846 and 19.5129 Å, with angles of 90.00, 90.00 and 120.00 degrees. The asymmetric unit holds Sm at (0.0000, 0.0000, 0.2465) and As at (0.0000, 0.0000, 0.0000).


Entry 3:
Entry from Alexandria: a relaxed structure of Sm3As (PBE).

The calculated volume comes out at 32.18 Å³/atom. As for the calculated formation energy: -164 kJ/mol of formula units. The energy relative to the lowest polymorph listed for this composition comes out at 144 meV per atom. The energy comes out at -0.3768 Ry per atom.

The space group is P-4m2 (No. 115) and the conventional cell measures 4.0724, 4.0724 and 7.7605 Å, with angles of 90.00, 90.00 and 90.00 degrees. The asymmetric unit holds Sm at (0.0000, 0.0000, 0.0000), Sm at (0.0000, 0.5000, 0.6475) and As at (0.5000, 0.5000, 0.0000).


Entry 4:
Entry from Alexandria: a relaxed structure of SmSnAs2 (PBE).

The calculated volume comes out at 23.13 Å³/atom. As for the calculated formation energy: -226 kJ/mol of formula units. The energy relative to the lowest polymorph listed for this composition comes out at 0 meV per atom. The energy comes out at -0.3742 Ry per atom.

The space group is P4/mmm (No. 123) and the conventional cell measures 4.8943, 4.8943 and 3.8616 Å, with angles of 90.00, 90.00 and 90.00 degrees. The asymmetric unit holds Sm at (0.0000, 0.0000, 0.0000), Sn at (0.5000, 0.5000, 0.0000) and As at (0.0000, 0.5000, 0.5000).


Entry 5:
Entry from Alexandria: a relaxed structure of SmSnAs2 (PBE).

The calculated volume comes out at 29.41 Å³/atom. As for the calculated formation energy: 32 kJ/mol of formula units. The energy relative to the lowest polymorph listed for this composition comes out at 668 meV per atom. The energy comes out at -0.3251 Ry per atom.

The space group is R-3m (No. 166, hexagonal axes) and the conventional cell measures 3.8689, 3.8689 and 27.2297 Å, with angles of 90.00, 90.00 and 120.00 degrees. The asymmetric unit holds Sm at (0.0000, 0.0000, 0.0000), Sn at (0.0000, 0.0000, 0.5000) and As at (0.0000, 0.0000, 0.1061).


Entry 6:
Entry from Alexandria: a relaxed structure of Sm2SnAs (PBE).

The calculated volume comes out at 28.05 Å³/atom. As for the calculated formation energy: -437 kJ/mol of formula units. The energy relative to the lowest polymorph listed for this composition comes out at 0 meV per atom. The energy comes out at -0.4157 Ry per atom.

The space group is Cmcm (No. 63) and the conventional cell measures 4.4178, 23.6648 and 4.2920 Å, with angles of 90.00, 90.00 and 90.00 degrees. The asymmetric unit holds Sm at (0.0000, 0.0683, 0.2500), Sm at (0.0000, 0.3113, 0.2500), Sn at (0.0000, 0.4547, 0.2500) and As at (0.0000, 0.1890, 0.2500).


Entry 7:
Entry from Alexandria: a relaxed structure of Sm8Sn5As (PBE).

The calculated volume comes out at 29.64 Å³/atom. As for the calculated formation energy: -1112 kJ/mol of formula units. The energy comes out at -0.3882 Ry per atom.

The space group is I-4 (No. 82) and the conventional cell measures 9.3695, 9.3695 and 9.4545 Å, with angles of 90.00, 90.00 and 90.00 degrees. The asymmetric unit holds Sm at (0.0690, 0.1912, 0.1974), Sm at (0.0710, 0.3217, 0.5532), Sn at (0.0000, 0.0000, 0.5000), Sn at (0.1224, 0.2487, 0.8742) and As at (0.0000, 0.5000, 0.2500).


Entry 8:
Entry from Alexandria: a relaxed structure of Sm2SnAs (PBE).

The calculated volume comes out at 28.84 Å³/atom. As for the calculated formation energy: -412 kJ/mol of formula units. The energy relative to the lowest polymorph listed for this composition comes out at 65 meV per atom. The energy comes out at -0.4109 Ry per atom.

The space group is R-3m (No. 166, hexagonal axes) and the conventional cell measures 4.1455, 4.1455 and 23.2524 Å, with angles of 90.00, 90.00 and 120.00 degrees. The asymmetric unit holds Sm at (0.0000, 0.0000, 0.2402), Sn at (0.0000, 0.0000, 0.0000) and As at (0.0000, 0.0000, 0.5000).